Entry 1:
VASP calculation (GGA-PBE) on a relaxed structure of Ce8Pb4O.

Cell: 4.530 4.821 16.557 Å, 90.00 90.00 90.00°
Space group Pmm2 (No. 25)
Symmetry-distinct sites (fractional):
Ce: 0.000 0.000 0.000 (multiplicity 1)
Ce: 0.000 0.000 0.316 (multiplicity 1)
Ce: 0.000 0.500 0.176 (multiplicity 1)
Ce: 0.000 0.500 0.495 (multiplicity 1)
Ce: 0.500 0.000 0.503 (multiplicity 1)
Ce: 0.500 0.000 0.820 (multiplicity 1)
Ce: 0.500 0.500 0.682 (multiplicity 1)
Ce: 0.500 0.500 0.999 (multiplicity 1)
Pb: 0.000 0.000 0.657 (multiplicity 1)
Pb: 0.000 0.500 0.851 (multiplicity 1)
Pb: 0.500 0.000 0.148 (multiplicity 1)
Pb: 0.500 0.500 0.344 (multiplicity 1)
O: 0.000 0.000 0.455 (multiplicity 1)

Output
The calculation puts the total energy at -76.21 eV per cell. Its formation energy (no corrections) is -0.688 eV per atom.

=====

Entry 2:
VASP calculation (GGA-PBE) on a relaxed structure of Ce2PbO.

Cell: 3.243 3.243 8.092 Å, 90.00 90.00 90.00°
Space group P4/mmm (No. 123)
Symmetry-distinct sites (fractional):
Ce: 0.000 0.000 0.189 (multiplicity 2)
Pb: 0.500 0.500 0.500 (multiplicity 1)
O: 0.500 0.500 0.000 (multiplicity 1)

Output
For the relative energy among the computed polymorphs, the calculation gives 0.4132 eV/atom. The calculation puts the total energy at -25.18 eV per cell. Its formation energy (no corrections) is -1.162 eV per atom.

=====

Entry 3:
VASP calculation (GGA-PBE) on a relaxed structure of Ce4Pm2Pb3O2.

Cell: 4.758 4.758 26.458 Å, 90.00 90.00 90.00°
Space group I4/mmm (No. 139)
Symmetry-distinct sites (fractional):
Ce: 0.000 0.500 0.085 (multiplicity 8)
Pm: 0.000 0.000 0.196 (multiplicity 4)
Pb: 0.000 0.000 0.321 (multiplicity 4)
Pb: 0.000 0.000 0.500 (multiplicity 2)
O: 0.000 0.000 0.101 (multiplicity 4)

Output
The calculation puts the total energy at -136.98 eV per cell. Its formation energy (no corrections) is -1.292 eV per atom.

=====

Entry 4:
VASP calculation (GGA-PBE) on a relaxed structure of Ce2Pm4Pb3O2.

Cell: 4.837 4.837 26.071 Å, 90.00 90.00 90.00°
Space group I4/mmm (No. 139)
Symmetry-distinct sites (fractional):
Ce: 0.000 0.000 0.193 (multiplicity 4)
Pm: 0.000 0.500 0.082 (multiplicity 8)
Pb: 0.000 0.000 0.322 (multiplicity 4)
Pb: 0.000 0.000 0.500 (multiplicity 2)
O: 0.000 0.000 0.103 (multiplicity 4)

Output
The calculation puts the total energy at -133.00 eV per cell. Its formation energy (no corrections) is -1.326 eV per atom.

=====

Entry 5:
VASP calculation (GGA-PBE) on a relaxed structure of Ce4Pr2Pb3O2.

Cell: 4.775 4.775 26.634 Å, 90.00 90.00 90.00°
Space group I4/mmm (No. 139)
Symmetry-distinct sites (fractional):
Ce: 0.000 0.500 0.084 (multiplicity 8)
Pr: 0.000 0.000 0.197 (multiplicity 4)
Pb: 0.000 0.000 0.323 (multiplicity 4)
Pb: 0.000 0.000 0.500 (multiplicity 2)
O: 0.000 0.000 0.099 (multiplicity 4)

Output
The calculation puts the total energy at -137.24 eV per cell. Its formation energy (no corrections) is -1.298 eV per atom.

=====

Entry 6:
VASP calculation (GGA-PBE) on a relaxed structure of CePrPbO2.

Cell: 4.002 4.002 14.023 Å, 90.00 90.00 90.00°
Space group I4mm (No. 107)
Symmetry-distinct sites (fractional):
Ce: 0.000 0.000 0.000 (multiplicity 2)
Pr: 0.000 0.000 0.672 (multiplicity 2)
Pb: 0.000 0.000 0.337 (multiplicity 2)
O: 0.000 0.500 0.079 (multiplicity 4)

Output
The calculation puts the total energy at -73.18 eV per cell. Its formation energy (no corrections) is -2.450 eV per atom.

=====

Entry 7:
VASP calculation (GGA-PBE) on a relaxed structure of CePtPb2O6.

Cell: 5.932 5.928 10.254 Å, 90.00 125.19 90.00°
Space group P2_1/c (No. 14)
Symmetry-distinct sites (fractional):
Ce: 0.000 0.000 0.000 (multiplicity 2)
Pt: 0.500 0.000 0.500 (multiplicity 2)
Pb: 0.262 0.029 0.756 (multiplicity 4)
O: 0.190 0.015 0.263 (multiplicity 4)
O: 0.271 0.706 0.041 (multiplicity 4)
O: 0.337 0.223 0.035 (multiplicity 4)

Output
The calculation puts the total energy at -129.82 eV per cell. Its formation energy (no corrections) is -1.577 eV per atom.

=====

Entry 8:
VASP calculation (GGA-PBE) on a relaxed structure of CePuPbO6.

Cell: 5.9614 5.9614 9.9379 Å, 90.00 90.00 120.00°
Space group P-31c (No. 163)
Symmetry-distinct sites (fractional):
Ce: 0.3333 0.6667 0.2500 (multiplicity 2)
Pu: 0.3333 0.6667 0.7500 (multiplicity 2)
Pb: 0.0000 0.0000 0.0000 (multiplicity 2)
O: 0.0247 0.3789 0.6432 (multiplicity 12)

Output
The calculation puts the total energy at -151.57 eV per cell. Its formation energy (no corrections) is -2.451 eV per atom.

=====

Entry 9:
VASP calculation (GGA-PBE) on a relaxed structure of Rb2CePbO4.

Cell: 6.437 3.691 6.899 Å, 90.00 108.15 90.00°
Space group P2/m (No. 10)
Symmetry-distinct sites (fractional):
Rb: 0.000 0.000 0.000 (multiplicity 1)
Rb: 0.500 0.500 0.000 (multiplicity 1)
Ce: 0.000 0.500 0.500 (multiplicity 1)
Pb: 0.500 0.000 0.500 (multiplicity 1)
O: 0.200 0.000 0.683 (multiplicity 2)
O: 0.226 0.500 0.315 (multiplicity 2)

Output
The calculation puts the total energy at -47.60 eV per cell. Its formation energy (no corrections) is -2.024 eV per atom.

=====

Entry 10:
VASP calculation (GGA-PBE) on a relaxed structure of CeRuPb2O6.

Cell: 12.005 5.569 5.298 Å, 90.00 111.71 90.00°
Space group C2/m (No. 12)
Symmetry-distinct sites (fractional):
Ce: 0.000 0.000 0.000 (multiplicity 2)
Ru: 0.000 0.500 0.500 (multiplicity 2)
Pb: 0.250 0.000 0.758 (multiplicity 4)
O: 0.081 0.261 0.761 (multiplicity 8)
O: 0.175 0.000 0.299 (multiplicity 4)

Output
The calculation puts the total energy at -135.80 eV per cell. Its formation energy (no corrections) is -1.552 eV per atom.

=====

Entry 11:
VASP calculation (GGA-PBE) on a relaxed structure of CePbS2O8.

Cell: 5.8822 5.8822 7.0568 Å, 90.00 90.00 120.00°
Space group P-3m1 (No. 164)
Symmetry-distinct sites (fractional):
Ce: 0.0000 0.0000 0.0000 (multiplicity 1)
Pb: 0.0000 0.0000 0.5000 (multiplicity 1)
S: 0.3333 0.6667 0.7346 (multiplicity 2)
O: 0.1955 0.3911 0.8092 (multiplicity 6)
O: 0.3333 0.6667 0.5270 (multiplicity 2)

Output
The calculation puts the total energy at -77.57 eV per cell. Its formation energy (no corrections) is -1.667 eV per atom.

=====

Entry 12:
VASP calculation (GGA-PBE) on a relaxed structure of CeScPbO2.

Cell: 3.813 3.813 13.540 Å, 90.00 90.00 90.00°
Space group I4mm (No. 107)
Symmetry-distinct sites (fractional):
Ce: 0.000 0.000 0.000 (multiplicity 2)
Sc: 0.000 0.000 0.337 (multiplicity 2)
Pb: 0.000 0.000 0.671 (multiplicity 2)
O: 0.000 0.500 0.406 (multiplicity 4)

Output
The calculation puts the total energy at -75.85 eV per cell. Its formation energy (no corrections) is -2.407 eV per atom.